! PrNp2MnN4, relaxed, DFT GGA-PBE; values from VASP
! Raw formation energy: -1.04 eV/atom
! Space group: No. 63
&SYSTEM
  ibrav = 0, nat = 16, ntyp = 4
/
ATOMIC_SPECIES
Pr 140.91 Pr.upf
N 14.01 N.upf
Mn 54.94 Mn.upf
Np 237.00 Np.upf
CELL_PARAMETERS angstrom
-1.0527 -0.0059 -3.2447
5.5352 -2.3396 0.0016
-4.3783 -10.3575 1.4394
ATOMIC_POSITIONS crystal
Pr 0.1022 0.2045 0.7500
N 0.7329 0.4658 0.8863
N 0.0000 0.0000 0.5000
Mn 0.1614 0.3228 0.2500
Mn 0.8386 0.6772 0.7500
N 0.5649 0.1298 0.2500
N 0.2671 0.5342 0.3863
Np 0.3691 0.7382 0.9456
N 0.2671 0.5342 0.1137
Np 0.6309 0.2618 0.4456
N 0.0000 0.0000 0.0000
Np 0.3691 0.7382 0.5544
Pr 0.8978 0.7955 0.2500
N 0.7329 0.4658 0.6137
Np 0.6309 0.2618 0.0544
N 0.4351 0.8702 0.7500

***

! Ca3Cd2Hg9, relaxed, DFT GGA-PBE; values from VASP
! Formation enthalpy at 0 K: -0.285 eV per atom
! Space group: No. 71
&SYSTEM
  ibrav = 0, nat = 14, ntyp = 3
/
ATOMIC_SPECIES
Ca 40.08 Ca.upf
Hg 200.59 Hg.upf
Cd 112.41 Cd.upf
CELL_PARAMETERS angstrom
4.4085 0.0000 -0.9023
-1.1242 10.0044 -5.4928
-0.4127 -1.5658 9.2048
ATOMIC_POSITIONS crystal
Ca 0.2931 0.2931 0.5862
Hg 0.6435 0.2698 0.2870
Hg 0.3565 0.7302 0.7130
Hg 0.0000 0.5000 0.0000
Cd 0.5000 0.3199 0.0000
Cd 0.5000 0.6801 0.0000
Hg 0.1505 0.4453 0.3010
Ca 0.0000 0.0000 0.0000
Hg 0.8495 0.1444 0.6990
Hg 0.6435 0.0171 0.2870
Hg 0.3565 0.9829 0.7130
Hg 0.8495 0.5547 0.6990
Ca 0.7069 0.7069 0.4138
Hg 0.1505 0.8556 0.3010

***

! Rb2Tl2Sb, relaxed, DFT GGA-PBE; values from VASP
! Raw formation energy: 0.19 eV/atom
! Space group: No. 139
&SYSTEM
  ibrav = 0, nat = 5, ntyp = 3
/
ATOMIC_SPECIES
Rb 85.47 Rb.upf
Sb 121.76 Sb.upf
Tl 204.38 Tl.upf
CELL_PARAMETERS angstrom
-4.6514 -1.9006 0.5970
1.9758 -4.2071 2.0002
-1.7359 0.1819 8.4978
ATOMIC_POSITIONS crystal
Rb 0.2500 0.7500 0.5000
Rb 0.7500 0.2500 0.5000
Sb 0.0000 0.0000 0.0000
Tl 0.5895 0.5895 0.8210
Tl 0.4105 0.4105 0.1790

***

! BaSrTl2, relaxed, DFT GGA-PBE; values from VASP
! Formation enthalpy at 0 K: -0.203 eV per atom
! Space group: No. 25
&SYSTEM
  ibrav = 0, nat = 4, ntyp = 3
/
ATOMIC_SPECIES
Tl 204.38 Tl.upf
Sr 87.62 Sr.upf
Ba 137.33 Ba.upf
CELL_PARAMETERS angstrom
4.1189 0.0000 0.0000
0.0000 5.3237 0.0000
0.0000 0.0000 7.3302
ATOMIC_POSITIONS crystal
Tl 0.5000 0.5000 0.2689
Sr 0.5000 0.5000 0.8185
Ba 0.0000 0.0000 0.4433
Tl 0.0000 0.0000 0.9694

***

! CeNd8Ho5, relaxed, DFT GGA-PBE; values from VASP
! Formation enthalpy at 0 K: 0.172 eV per atom
! Space group: No. 1
&SYSTEM
  ibrav = 0, nat = 14, ntyp = 3
/
ATOMIC_SPECIES
Nd 144.24 Nd.upf
Ho 164.93 Ho.upf
Ce 140.12 Ce.upf
CELL_PARAMETERS angstrom
-8.1321 2.3432 -1.6484
1.8625 -7.8686 -2.8589
0.0649 1.0611 8.4922
ATOMIC_POSITIONS crystal
Nd 0.8892 0.1121 0.6459
Nd 0.2681 0.3758 0.4821
Ho 0.2949 0.1182 0.0478
Ce 0.3486 0.3819 0.8404
Ho 0.4127 0.0190 0.4232
Nd 0.5657 0.6459 0.3146
Nd 0.1395 0.6461 0.9055
Nd 0.7635 0.2479 0.3116
Ho 0.7397 0.6190 0.7018
Ho 0.0952 0.4020 0.1318
Nd 0.5246 0.8933 0.7948
Ho 0.9334 0.8973 0.1904
Nd 0.0643 0.7630 0.5207
Nd 0.7104 0.3786 0.9395

***

! NaSn2BiO, relaxed, DFT GGA-PBE; values from VASP
! Raw formation energy: 0.24 eV/atom
! Space group: No. 123
&SYSTEM
  ibrav = 0, nat = 5, ntyp = 4
/
ATOMIC_SPECIES
Sn 118.71 Sn.upf
Bi 208.98 Bi.upf
O 16.00 O.upf
Na 22.99 Na.upf
CELL_PARAMETERS angstrom
5.7556 0.0000 0.0000
0.0000 3.9395 0.0000
0.0000 0.0000 5.7556
ATOMIC_POSITIONS crystal
Sn 0.5000 0.0000 0.0000
Bi 0.5000 0.5000 0.5000
Sn 0.0000 0.0000 0.5000
O 0.0000 0.5000 0.0000
Na 0.0000 0.0000 0.0000

***

! Er2MgPb3, relaxed, DFT GGA-PBE; values from VASP
! Formation enthalpy at 0 K: -0.089 eV per atom
! Space group: No. 63
&SYSTEM
  ibrav = 0, nat = 12, ntyp = 3
/
ATOMIC_SPECIES
Er 167.26 Er.upf
Mg 24.30 Mg.upf
Pb 207.20 Pb.upf
CELL_PARAMETERS angstrom
5.3410 0.0000 0.0000
0.0001 8.5904 0.7719
0.0001 -3.5356 7.8671
ATOMIC_POSITIONS crystal
Er 0.9931 0.2709 0.5079
Er 0.4931 0.7291 0.4921
Mg 0.9928 0.7028 0.7028
Pb 0.9928 0.1006 0.1006
Pb 0.9931 0.3776 0.8910
Er 0.9931 0.5079 0.2709
Pb 0.9931 0.8910 0.3776
Er 0.4931 0.4921 0.7291
Pb 0.4928 0.8994 0.8994
Pb 0.4931 0.6224 0.1090
Pb 0.4931 0.1090 0.6224
Mg 0.4928 0.2973 0.2973

***

! AcSiPtN, relaxed, DFT GGA-PBE; values from VASP
! Raw formation energy: -1.16 eV/atom
! Space group: No. 129
&SYSTEM
  ibrav = 0, nat = 8, ntyp = 4
/
ATOMIC_SPECIES
Ac 227.00 Ac.upf
Si 28.09 Si.upf
N 14.01 N.upf
Pt 195.08 Pt.upf
CELL_PARAMETERS angstrom
-1.6205 3.1899 2.0002
-3.4154 -2.1619 0.6807
3.3195 -2.9276 7.3582
ATOMIC_POSITIONS crystal
Ac 0.5000 0.0000 0.1607
Ac 0.0000 0.5000 0.8393
Si 0.0000 0.5000 0.3421
N 0.5000 0.0000 0.8627
Pt 0.5000 0.5000 0.5000
N 0.0000 0.5000 0.1373
Si 0.5000 0.0000 0.6579
Pt 0.0000 0.0000 0.5000